Entry from Alexandria: crystalline Th2NpBeN5 at its relaxed geometry (PBE).

Output
Spin magnetization ... 0.19 μB/atom
Formation energy (no corrections) ... -1.282 eV/atom
Energy ... -9.4075 eV/atom
D(E_F) ... 3.64 states/eV/f.u.

The structure in CIF format:
```
data_Th2NpBeN5
_cell_length_a 3.4327
_cell_length_b 13.5025
_cell_length_c 10.4693
_cell_angle_alpha 90.00
_cell_angle_beta 90.00
_cell_angle_gamma 90.00
_symmetry_space_group_name_H-M 'C m c 21'
_symmetry_Int_Tables_number 36
_symmetry_space_group_name_Hall 'C 2c -2'
loop_
_atom_site_label
_atom_site_fract_x
_atom_site_fract_y
_atom_site_fract_z
Th1 0.0000 0.1115 0.0000
Th2 0.0000 0.1303 0.6460
Np1 0.0000 0.1837 0.3360
Be1 0.0000 0.4509 0.7267
N1 0.0000 0.0306 0.3035
N2 0.0000 0.2930 0.9811
N3 0.0000 0.3204 0.6907
N4 0.0000 0.3379 0.3267
N5 0.0000 0.4928 0.0843
```

=====

Entry from Alexandria: crystalline Mn2Cu2Pd5 at its relaxed geometry (PBE).

Output
Spin magnetization ... 0.36 μB/atom
Formation energy ... 0.16 eV/atom
Energy ... -5.6696 eV/atom
D(E_F) ... 6.52 states/eV/f.u.
ΔE to the lowest computed polymorph ... 103 meV/atom

The structure in CIF format:
```
data_Mn2Cu2Pd5
_cell_length_a 15.0488
_cell_length_b 6.4747
_cell_length_c 5.4083
_cell_angle_alpha 90.00
_cell_angle_beta 90.00
_cell_angle_gamma 90.00
_symmetry_space_group_name_H-M 'I m a 2'
_symmetry_Int_Tables_number 46
_symmetry_space_group_name_Hall 'I 2 -2a'
loop_
_atom_site_label
_atom_site_fract_x
_atom_site_fract_y
_atom_site_fract_z
Mn1 0.0340 0.1243 0.0000
Cu1 0.0000 0.0000 0.5016
Cu2 0.2500 0.5402 0.0005
Pd1 0.1076 0.7492 0.7505
Pd2 0.1600 0.2497 0.2502
Pd3 0.2500 0.5633 0.4999
```

=====

Entry from Alexandria: crystalline Cu2Pd9Pb at its relaxed geometry (PBE).

Output
Spin magnetization ... 0.00 μB/atom
Formation energy ... -0.10 eV/atom
Energy ... -4.9906 eV/atom
D(E_F) ... 14.70 states/eV/f.u.

The structure in CIF format:
```
data_Cu2Pd9Pb
_cell_length_a 3.9890
_cell_length_b 3.9890
_cell_length_c 11.7702
_cell_angle_alpha 90.00
_cell_angle_beta 90.00
_cell_angle_gamma 90.00
_symmetry_space_group_name_H-M 'P 4/m m m'
_symmetry_Int_Tables_number 123
_symmetry_space_group_name_Hall '-P 4 2'
loop_
_atom_site_label
_atom_site_fract_x
_atom_site_fract_y
_atom_site_fract_z
Cu1 0.0000 0.0000 0.1587
Pd1 0.0000 0.5000 0.0000
Pd2 0.0000 0.5000 0.3188
Pd3 0.5000 0.5000 0.1589
Pd4 0.5000 0.5000 0.5000
Pb1 0.0000 0.0000 0.5000
```

=====

Entry from Alexandria: crystalline SrAcAgPb at its relaxed geometry (PBE).

Output
Spin magnetization ... 0.00 μB/atom
Formation energy ... -0.45 eV/atom
Energy ... -3.5361 eV/atom
D(E_F) ... 1.61 states/eV/f.u.

The structure in CIF format:
```
data_SrAcAgPb
_cell_length_a 8.0961
_cell_length_b 8.0961
_cell_length_c 8.0961
_cell_angle_alpha 90.00
_cell_angle_beta 90.00
_cell_angle_gamma 90.00
_symmetry_space_group_name_H-M 'F -4 3 m'
_symmetry_Int_Tables_number 216
_symmetry_space_group_name_Hall 'F -4 2 3'
loop_
_atom_site_label
_atom_site_fract_x
_atom_site_fract_y
_atom_site_fract_z
Sr1 0.0000 0.0000 0.0000
Ac1 0.0000 0.0000 0.5000
Ag1 0.2500 0.2500 0.2500
Pb1 0.2500 0.2500 0.7500
```

=====

Entry from Alexandria: crystalline Ac4Sn2Pb5 at its relaxed geometry (PBE).

Output
Spin magnetization ... 0.00 μB/atom
Formation energy ... -0.52 eV/atom
Energy ... -4.4297 eV/atom
D(E_F) ... 5.58 states/eV/f.u.

The structure in CIF format:
```
data_Ac4Sn2Pb5
_cell_length_a 8.3032
_cell_length_b 4.7887
_cell_length_c 9.6939
_cell_angle_alpha 90.00
_cell_angle_beta 94.41
_cell_angle_gamma 90.00
_symmetry_space_group_name_H-M 'P 1 2/m 1'
_symmetry_Int_Tables_number 10
_symmetry_space_group_name_Hall '-P 2y'
loop_
_atom_site_label
_atom_site_fract_x
_atom_site_fract_y
_atom_site_fract_z
Ac1 0.2240 0.0000 0.3702
Ac2 0.2367 0.0000 0.8990
Sn1 0.0934 0.5000 0.1324
Pb1 0.1408 0.5000 0.6283
Pb2 0.4644 0.5000 0.1630
Pb3 0.5000 0.5000 0.5000
```

=====

Entry from Alexandria: crystalline K4La3PrS8 at its relaxed geometry (PBE).

Output
Spin magnetization ... 0.00 μB/atom
Formation energy (no corrections) ... -1.902 eV/atom
Energy ... -5.4624 eV/atom
D(E_F) ... 0.00 states/eV/f.u.

The structure in CIF format:
```
data_K4La3PrS8
_cell_length_a 8.5600
_cell_length_b 8.5600
_cell_length_c 22.1282
_cell_angle_alpha 90.00
_cell_angle_beta 90.00
_cell_angle_gamma 120.00
_symmetry_space_group_name_H-M 'R -3 m'
_symmetry_Int_Tables_number 166
_symmetry_space_group_name_Hall '-R 3 2"'
loop_
_atom_site_label
_atom_site_fract_x
_atom_site_fract_y
_atom_site_fract_z
K1 0.0000 0.0000 0.0000
K2 0.0000 0.5000 0.0000
La1 0.0000 0.5000 0.5000
Pr1 0.0000 0.0000 0.5000
S1 0.0000 0.0000 0.2360
S2 0.0018 0.5009 0.2360
```

=====

Entry from Alexandria: crystalline SrSmMg at its relaxed geometry (PBE).

Output
Spin magnetization ... 0.07 μB/atom
Formation energy ... 0.04 eV/atom
Energy ... -2.6298 eV/atom
D(E_F) ... 3.75 states/eV/f.u.
ΔE to the lowest computed polymorph ... 0 meV/atom

The structure in CIF format:
```
data_SrSmMg
_cell_length_a 3.9153
_cell_length_b 3.9153
_cell_length_c 13.9840
_cell_angle_alpha 90.00
_cell_angle_beta 90.00
_cell_angle_gamma 90.00
_symmetry_space_group_name_H-M 'I 4 m m'
_symmetry_Int_Tables_number 107
_symmetry_space_group_name_Hall 'I 4 -2'
loop_
_atom_site_label
_atom_site_fract_x
_atom_site_fract_y
_atom_site_fract_z
Sr1 0.0000 0.0000 0.0000
Sm1 0.0000 0.0000 0.2933
Mg1 0.0000 0.0000 0.6639
```

=====

Entry from Alexandria: crystalline Pu2BiH at its relaxed geometry (PBE).

Output
Spin magnetization ... 0.00 μB/atom
Energy ... -8.7994 eV/atom
D(E_F) ... 7.13 states/eV/f.u.
ΔE to the lowest computed polymorph ... 449 meV/atom

The structure in CIF format:
```
data_Pu2BiH
_cell_length_a 3.6942
_cell_length_b 3.6942
_cell_length_c 18.4053
_cell_angle_alpha 90.00
_cell_angle_beta 90.00
_cell_angle_gamma 120.00
_symmetry_space_group_name_H-M 'R -3 m'
_symmetry_Int_Tables_number 166
_symmetry_space_group_name_Hall '-R 3 2"'
loop_
_atom_site_label
_atom_site_fract_x
_atom_site_fract_y
_atom_site_fract_z
Pu1 0.0000 0.0000 0.1979
Bi1 0.0000 0.0000 0.0000
H1 0.0000 0.0000 0.5000
```

=====

Entry from Alexandria: crystalline NiAgAs2 at its relaxed geometry (PBE).

Output
Spin magnetization ... 0.00 μB/atom
Formation energy ... 0.03 eV/atom
Energy ... -4.4497 eV/atom
D(E_F) ... 1.51 states/eV/f.u.
ΔE to the lowest computed polymorph ... 32 meV/atom

The structure in CIF format:
```
data_NiAgAs2
_cell_length_a 6.9952
_cell_length_b 3.4667
_cell_length_c 6.0799
_cell_angle_alpha 90.00
_cell_angle_beta 105.74
_cell_angle_gamma 90.00
_symmetry_space_group_name_H-M 'C 1 2/m 1'
_symmetry_Int_Tables_number 12
_symmetry_space_group_name_Hall '-C 2y'
loop_
_atom_site_label
_atom_site_fract_x
_atom_site_fract_y
_atom_site_fract_z
Ni1 0.0000 0.0000 0.0000
Ag1 0.0000 0.5000 0.5000
As1 0.2316 0.5000 0.1831
```

=====

Entry from Alexandria: crystalline KNpPb2O6 at its relaxed geometry (PBE).

Output
Spin magnetization ... 0.00 μB/atom
Formation energy (no corrections) ... -1.903 eV/atom
Energy ... -7.0229 eV/atom

The structure in CIF format:
```
data_KNpPb2O6
_cell_length_a 6.0704
_cell_length_b 6.3601
_cell_length_c 6.4064
_cell_angle_alpha 62.83
_cell_angle_beta 62.64
_cell_angle_gamma 63.38
_symmetry_space_group_name_H-M 'P 1'
_symmetry_Int_Tables_number 1
_symmetry_space_group_name_Hall 'P 1'
loop_
_atom_site_label
_atom_site_fract_x
_atom_site_fract_y
_atom_site_fract_z
K1 0.0000 0.0000 0.0000
Np1 0.5080 0.5276 0.4419
Pb1 0.1875 0.2480 0.3441
Pb2 0.7507 0.6915 0.8008
O1 0.1811 0.7150 0.6613
O2 0.3152 0.5978 0.2080
O3 0.4189 0.2196 0.6252
O4 0.5828 0.8391 0.2465
O5 0.7812 0.4117 0.6343
O6 0.8395 0.3801 0.1746
```

=====

Entry from Alexandria: crystalline KNaTlAg2 at its relaxed geometry (PBE).

Output
Spin magnetization ... 0.00 μB/atom
Formation energy ... 0.31 eV/atom
Energy ... -1.7827 eV/atom
D(E_F) ... 2.44 states/eV/f.u.

The structure in CIF format:
```
data_KNaTlAg2
_cell_length_a 5.4742
_cell_length_b 5.4742
_cell_length_c 5.6588
_cell_angle_alpha 90.00
_cell_angle_beta 90.00
_cell_angle_gamma 90.00
_symmetry_space_group_name_H-M 'P 4/m m m'
_symmetry_Int_Tables_number 123
_symmetry_space_group_name_Hall '-P 4 2'
loop_
_atom_site_label
_atom_site_fract_x
_atom_site_fract_y
_atom_site_fract_z
K1 0.0000 0.0000 0.0000
Na1 0.5000 0.5000 0.5000
Tl1 0.5000 0.5000 0.0000
Ag1 0.0000 0.5000 0.5000
```

=====

Entry from Alexandria: crystalline Pr2YAg3 at its relaxed geometry (PBE).

Output
Spin magnetization ... 0.00 μB/atom
Formation energy ... -0.28 eV/atom
Energy ... -4.3714 eV/atom
D(E_F) ... 4.19 states/eV/f.u.

The structure in CIF format:
```
data_Pr2YAg3
_cell_length_a 3.7071
_cell_length_b 3.7071
_cell_length_c 11.3833
_cell_angle_alpha 90.00
_cell_angle_beta 90.00
_cell_angle_gamma 90.00
_symmetry_space_group_name_H-M 'P 4/m m m'
_symmetry_Int_Tables_number 123
_symmetry_space_group_name_Hall '-P 4 2'
loop_
_atom_site_label
_atom_site_fract_x
_atom_site_fract_y
_atom_site_fract_z
Pr1 0.0000 0.0000 0.1714
Y1 0.0000 0.0000 0.5000
Ag1 0.5000 0.5000 0.0000
Ag2 0.5000 0.5000 0.3479
```

=====

What did the eighth record say?
Entry from Alexandria: crystalline Pu2BiH at its relaxed geometry (PBE).

Output
Spin magnetization ... 0.00 μB/atom
Energy ... -8.7994 eV/atom
D(E_F) ... 7.13 states/eV/f.u.
ΔE to the lowest computed polymorph ... 449 meV/atom

The structure in CIF format:
```
data_Pu2BiH
_cell_length_a 3.6942
_cell_length_b 3.6942
_cell_length_c 18.4053
_cell_angle_alpha 90.00
_cell_angle_beta 90.00
_cell_angle_gamma 120.00
_symmetry_space_group_name_H-M 'R -3 m'
_symmetry_Int_Tables_number 166
_symmetry_space_group_name_Hall '-R 3 2"'
loop_
_atom_site_label
_atom_site_fract_x
_atom_site_fract_y
_atom_site_fract_z
Pu1 0.0000 0.0000 0.1979
Bi1 0.0000 0.0000 0.0000
H1 0.0000 0.0000 0.5000
```

=====

- Look up the spin magnetization of the twelfth one.
  0.00 μB/atom